No. 1
# CuS4Cl

Crystalline CuS4Cl at its relaxed geometry (GGA-PBE, Alexandria).

Cell and atoms, written as CIF:
```
data_CuS4Cl
_chemical_formula_sum 'Cu2 S8 Cl2'
_symmetry_space_group_name_H-M 'P -1'
_symmetry_Int_Tables_number 2
_symmetry_space_group_name_Hall '-P 1'
_cell_length_a 4.7961
_cell_length_b 5.6838
_cell_length_c 11.6507
_cell_angle_alpha 85.47
_cell_angle_beta 85.59
_cell_angle_gamma 76.59
loop_
_atom_site_label
_atom_site_type_symbol
_atom_site_fract_x
_atom_site_fract_y
_atom_site_fract_z
Cu1 Cu 0.2423 0.2515 0.0707
S1 S 0.0196 0.6611 0.0882
S2 S 0.0972 0.3707 0.5692
S3 S 0.1072 0.8918 0.4280
S4 S 0.3304 0.8327 0.1009
Cl1 Cl 0.4414 0.7773 0.7961
```

E ... -3.814 eV/atom
Formation energy (no corrections) ... -72 meV per atom
M_tot ... 0.000 μB per cell



No. 2
# Cu3SCl

Crystalline Cu3SCl at its relaxed geometry (GGA-PBE, Alexandria).

Cell and atoms, written as CIF:
```
data_Cu3SCl
_chemical_formula_sum 'Cu3 S1 Cl1'
_symmetry_space_group_name_H-M 'P m -3 m'
_symmetry_Int_Tables_number 221
_symmetry_space_group_name_Hall '-P 4 2 3'
_cell_length_a 4.4277
_cell_length_b 4.4277
_cell_length_c 4.4277
_cell_angle_alpha 90.00
_cell_angle_beta 90.00
_cell_angle_gamma 90.00
loop_
_atom_site_label
_atom_site_type_symbol
_atom_site_fract_x
_atom_site_fract_y
_atom_site_fract_z
Cu1 Cu 0.0000 0.0000 0.5000
S1 S 0.0000 0.0000 0.0000
Cl1 Cl 0.5000 0.5000 0.5000
```

E ... -3.710 eV/atom
Polymorph energy (0 for the lowest one) ... 104.8 meV per atom
Formation energy (no corrections) ... -57 meV per atom
M_tot ... 0.000 μB per cell



No. 3
# Cu2SCl

Crystalline Cu2SCl at its relaxed geometry (GGA-PBE, Alexandria).

Cell and atoms, written as CIF:
```
data_Cu2SCl
_chemical_formula_sum 'Cu8 S4 Cl4'
_symmetry_space_group_name_H-M 'I -4 2 d'
_symmetry_Int_Tables_number 122
_symmetry_space_group_name_Hall 'I -4 2bw'
_cell_length_a 5.3602
_cell_length_b 5.3602
_cell_length_c 10.6842
_cell_angle_alpha 90.00
_cell_angle_beta 90.00
_cell_angle_gamma 90.00
loop_
_atom_site_label
_atom_site_type_symbol
_atom_site_fract_x
_atom_site_fract_y
_atom_site_fract_z
Cu1 Cu 0.2130 0.2500 0.1250
S1 S 0.0000 0.0000 0.0000
Cl1 Cl 0.0000 0.0000 0.5000
```

E ... -3.866 eV/atom
Polymorph energy (0 for the lowest one) ... 0.0 meV per atom
Formation energy (no corrections) ... -325 meV per atom
M_tot ... 0.000 μB per cell



No. 4
# CuS6Cl2

Crystalline CuS6Cl2 at its relaxed geometry (GGA-PBE, Alexandria).

Cell and atoms, written as CIF:
```
data_CuS6Cl2
_chemical_formula_sum 'Cu2 S12 Cl4'
_symmetry_space_group_name_H-M 'P -1'
_symmetry_Int_Tables_number 2
_symmetry_space_group_name_Hall '-P 1'
_cell_length_a 7.4928
_cell_length_b 7.9323
_cell_length_c 8.5309
_cell_angle_alpha 91.31
_cell_angle_beta 90.06
_cell_angle_gamma 118.15
loop_
_atom_site_label
_atom_site_type_symbol
_atom_site_fract_x
_atom_site_fract_y
_atom_site_fract_z
Cu1 Cu 0.1782 0.9999 0.2498
S1 S 0.2276 0.5910 0.1227
S2 S 0.2467 0.7543 0.3247
S3 S 0.2635 0.7659 0.9389
S4 S 0.3637 0.5912 0.6229
S5 S 0.4919 0.2456 0.1750
S6 S 0.4972 0.2343 0.5609
Cl1 Cl 0.1100 0.2194 0.3631
Cl2 Cl 0.1097 0.2195 0.8633
```

E ... -3.669 eV/atom
Formation energy (no corrections) ... -52 meV per atom
M_tot ... 0.000 μB per cell